The following is a DFT calculation (GGA-PBE) of a geometry-optimized GdNbRh2 structure.

Values from the calculation:
* formation energy: -382.5 meV/atom
* symmetry: Fm-3m
* total magnetization: 1.670 μB/atom

a = 4.695 Å, b = 4.695 Å, c = 4.695 Å
α = 60.00°, β = 60.00°, γ = 60.00°
Element x y z (fractional)
Gd (0.000, 0.000, 0.000)
Nb (0.500, 0.500, 0.500)
Rh (0.250, 0.250, 0.250)
Rh (0.750, 0.750, 0.750)

The following is a DFT calculation (GGA-PBE) of a geometry-optimized GdNbRh2 structure.

Values from the calculation:
* formation energy: -504.6 meV/atom
* symmetry: P4/mmm
* total magnetization: 1.810 μB/atom

a = 3.205 Å, b = 3.205 Å, c = 7.255 Å
α = 90.00°, β = 90.00°, γ = 90.00°
Element x y z (fractional)
Gd (0.000, 0.000, 0.000)
Nb (0.000, 0.000, 0.500)
Rh (0.500, 0.500, 0.293)
Rh (0.500, 0.500, 0.707)

The following is a DFT calculation (GGA-PBE) of a geometry-optimized GdNbRh2 structure.

Values from the calculation:
* formation energy: -418.0 meV/atom
* symmetry: P4/mmm
* total magnetization: 1.727 μB/atom

a = 4.875 Å, b = 4.875 Å, c = 3.062 Å
α = 90.00°, β = 90.00°, γ = 90.00°
Element x y z (fractional)
Gd (0.000, 0.000, 0.000)
Nb (0.500, 0.500, 0.000)
Rh (0.000, 0.500, 0.500)
Rh (0.500, 0.000, 0.500)

The following is a DFT calculation (GGA-PBE) of a geometry-optimized GdNbRu4 structure.

Values from the calculation:
* formation energy: -71.3 meV/atom
* symmetry: F-43m
* total magnetization: 1.109 μB/atom

a = 5.237 Å, b = 5.237 Å, c = 5.237 Å
α = 60.00°, β = 60.00°, γ = 60.00°
Element x y z (fractional)
Gd (0.000, 0.000, 0.000)
Nb (0.750, 0.750, 0.750)
Ru (0.375, 0.375, 0.375)
Ru (0.375, 0.375, 0.874)
Ru (0.375, 0.874, 0.375)
Ru (0.874, 0.375, 0.375)

The following is a DFT calculation (GGA-PBE) of a geometry-optimized GdNbS2 structure.

Values from the calculation:
* ΔE_f (raw): -83 kJ/mol of atoms
* symmetry: R-3m
* total magnetization: 1.813 μB/atom

a = 8.781 Å, b = 8.781 Å, c = 8.781 Å
α = 22.84°, β = 22.84°, γ = 22.84°
Element x y z (fractional)
Gd (0.000, 0.000, 0.000)
Nb (0.500, 0.500, 0.500)
S (0.106, 0.106, 0.106)
S (0.894, 0.894, 0.894)

The following is a DFT calculation (GGA-PBE) of a geometry-optimized GdNbSb2 structure.

Values from the calculation:
* ΔE_f (raw): -6 kJ/mol of atoms
* symmetry: R-3m
* total magnetization: 1.930 μB/atom

a = 10.619 Å, b = 10.619 Å, c = 10.619 Å
α = 18.76°, β = 18.76°, γ = 18.76°
Element x y z (fractional)
Gd (0.000, 0.000, 0.000)
Nb (0.500, 0.500, 0.500)
Sb (0.101, 0.101, 0.101)
Sb (0.899, 0.899, 0.899)